No. 1
PBE Li2MnHgCl6, relaxed; symmetry = No. 146; uncorrected formation energy = -1.195 eV per atom; VASP energy = -3.63 eV per atom
1.0
3.2580 1.8810 5.9436
-3.2580 1.8810 5.9436
0.0000 -3.7621 5.9436
Li Mn Hg Cl
2 1 1 6
Direct
0.0000 0.0000 0.0000 Li
0.4895 0.4895 0.4895 Li
0.6888 0.6888 0.6888 Mn
0.1970 0.1970 0.1970 Hg
0.0839 0.7695 0.4126 Cl
0.2815 0.6134 0.8850 Cl
0.4126 0.0839 0.7695 Cl
0.6134 0.8850 0.2815 Cl
0.7695 0.4126 0.0839 Cl
0.8850 0.2815 0.6134 Cl

---

No. 2
PBE LiMnHgCl6, relaxed; symmetry = No. 102; uncorrected formation energy = -0.987 eV per atom; VASP energy = -3.48 eV per atom
1.0
6.5028 0.0000 0.0000
0.0000 6.5028 0.0000
0.0000 0.0000 10.8415
Li Mn Hg Cl
2 2 2 12
Direct
0.0000 0.0000 0.0000 Li
0.5000 0.5000 0.5000 Li
0.0000 0.0000 0.6684 Mn
0.5000 0.5000 0.1684 Mn
0.0000 0.0000 0.3170 Hg
0.5000 0.5000 0.8170 Hg
0.1705 0.1705 0.8190 Cl
0.1748 0.1748 0.5160 Cl
0.1993 0.1993 0.1538 Cl
0.3007 0.6993 0.6538 Cl
0.3252 0.6748 0.0160 Cl
0.3295 0.6705 0.3190 Cl
0.6705 0.3295 0.3190 Cl
0.6748 0.3252 0.0160 Cl
0.6993 0.3007 0.6538 Cl
0.8007 0.8007 0.1538 Cl
0.8252 0.8252 0.5160 Cl
0.8295 0.8295 0.8190 Cl

---

No. 3
PBE LiMnHgCl2, relaxed; symmetry = No. 123; uncorrected formation energy = -0.343 eV per atom; VASP energy = -3.36 eV per atom
1.0
4.6850 0.0000 0.0000
0.0000 4.6850 0.0000
0.0000 0.0000 5.3085
Li Mn Hg Cl
1 1 1 2
Direct
0.0000 0.0000 0.0000 Li
0.5000 0.5000 0.5000 Mn
0.0000 0.0000 0.5000 Hg
0.0000 0.5000 0.0000 Cl
0.5000 0.0000 0.0000 Cl

---

No. 4
PBE LiHg2NCl, relaxed; symmetry = No. 123; uncorrected formation energy = 0.205 eV per atom; VASP energy = -2.33 eV per atom
1.0
4.3332 0.0000 0.0000
0.0000 4.3332 0.0000
0.0000 0.0000 9.7699
Li Hg N Cl
1 2 1 1
Direct
0.0000 0.0000 0.0000 Li
0.0000 0.5000 0.5000 Hg
0.5000 0.0000 0.5000 Hg
0.5000 0.5000 0.5000 N
0.5000 0.5000 0.0000 Cl

---

No. 5
PBE Na2LiHgCl5, relaxed; symmetry = No. 36; uncorrected formation energy = -1.368 eV per atom; VASP energy = -2.93 eV per atom
1.0
2.0000 -8.3119 0.0000
2.0000 8.3119 0.0000
0.0000 0.0000 13.6946
Na Li Hg Cl
4 2 2 10
Direct
0.0656 0.9344 0.5000 Na
0.0984 0.9016 0.2109 Na
0.9016 0.0984 0.7109 Na
0.9344 0.0656 0.0000 Na
0.4125 0.5875 0.2716 Li
0.5875 0.4125 0.7716 Li
0.2379 0.7621 0.8904 Hg
0.7621 0.2379 0.3904 Hg
0.0770 0.9230 0.8688 Cl
0.2468 0.7532 0.5182 Cl
0.2682 0.7318 0.2467 Cl
0.3980 0.6020 0.8598 Cl
0.4940 0.5060 0.1286 Cl
0.5060 0.4940 0.6286 Cl
0.6020 0.3980 0.3598 Cl
0.7318 0.2682 0.7467 Cl
0.7532 0.2468 0.0182 Cl
0.9230 0.0770 0.3688 Cl

---

No. 6
PBE NaLiHg2Cl6, relaxed; symmetry = No. 148; uncorrected formation energy = -1.055 eV per atom; VASP energy = -2.55 eV per atom
1.0
3.4316 1.9812 6.3692
-3.4316 1.9812 6.3692
0.0000 -3.9625 6.3692
Na Li Hg Cl
1 1 2 6
Direct
0.0000 0.0000 0.0000 Na
0.5000 0.5000 0.5000 Li
0.2427 0.2427 0.2427 Hg
0.7573 0.7573 0.7573 Hg
0.1206 0.7381 0.4020 Cl
0.2619 0.5980 0.8794 Cl
0.4020 0.1206 0.7381 Cl
0.5980 0.8794 0.2619 Cl
0.7381 0.4020 0.1206 Cl
0.8794 0.2619 0.5980 Cl

---

No. 7
PBE Na2LiHgCl6, relaxed; symmetry = No. 1; uncorrected formation energy = -1.161 eV per atom; VASP energy = -2.75 eV per atom
1.0
6.8068 0.0000 0.0000
3.1986 6.1388 0.0000
3.1845 1.5070 6.0452
Na Li Hg Cl
2 1 1 6
Direct
0.0000 0.0000 0.0000 Na
0.4801 0.4618 0.5300 Na
0.2585 0.2507 0.1674 Li
0.7919 0.7907 0.5989 Hg
0.0726 0.4010 0.8827 Cl
0.1667 0.8821 0.3602 Cl
0.4399 0.6752 0.8244 Cl
0.5499 0.1767 0.3088 Cl
0.6749 0.0490 0.8346 Cl
0.9016 0.5699 0.3215 Cl

---

No. 8
PBE NaLi2HgCl6, relaxed; symmetry = No. 15; uncorrected formation energy = -1.144 eV per atom; VASP energy = -2.80 eV per atom
1.0
7.0802 -5.5229 0.0000
7.0802 5.5229 0.0000
-2.5247 0.0000 6.5514
Na Li Hg Cl
2 4 2 12
Direct
0.1442 0.8558 0.7500 Na
0.8558 0.1442 0.2500 Na
0.1206 0.3112 0.7926 Li
0.3112 0.1206 0.2926 Li
0.6888 0.8794 0.7074 Li
0.8794 0.6888 0.2074 Li
0.3284 0.6716 0.2500 Hg
0.6716 0.3284 0.7500 Hg
0.1080 0.1568 0.0022 Cl
0.1469 0.5575 0.3490 Cl
0.1568 0.1080 0.5022 Cl
0.2536 0.5371 0.8770 Cl
0.4425 0.8531 0.1510 Cl
0.4629 0.7464 0.6230 Cl
0.5371 0.2536 0.3770 Cl
0.5575 0.1469 0.8490 Cl
0.7464 0.4629 0.1230 Cl
0.8432 0.8920 0.4978 Cl
0.8531 0.4425 0.6510 Cl
0.8920 0.8432 0.9978 Cl

---

No. 9
PBE Li2NiHgCl6, relaxed; symmetry = No. 146; uncorrected formation energy = -1.019 eV per atom; VASP energy = -3.12 eV per atom
1.0
3.2045 1.8501 5.8455
-3.2045 1.8501 5.8455
0.0000 -3.7002 5.8455
Li Ni Hg Cl
2 1 1 6
Direct
0.0000 0.0000 0.0000 Li
0.4844 0.4844 0.4844 Li
0.6792 0.6792 0.6792 Ni
0.1915 0.1915 0.1915 Hg
0.0642 0.4249 0.7659 Cl
0.2883 0.8804 0.6116 Cl
0.4249 0.7659 0.0642 Cl
0.6116 0.2883 0.8804 Cl
0.7659 0.0642 0.4249 Cl
0.8804 0.6116 0.2883 Cl

---

No. 10
PBE LiNpHgCl6, relaxed; symmetry = No. 149; uncorrected formation energy = -1.363 eV per atom; VASP energy = -4.28 eV per atom
1.0
6.6079 0.0000 0.0000
-3.3040 5.7226 0.0000
0.0000 0.0000 8.6950
Li Np Hg Cl
1 1 1 6
Direct
0.0000 0.0000 0.0000 Li
0.6667 0.3333 0.0000 Np
0.3333 0.6667 0.5000 Hg
0.3430 0.0286 0.1667 Cl
0.3430 0.3144 0.8333 Cl
0.6856 0.0286 0.8333 Cl
0.6856 0.6570 0.1667 Cl
0.9714 0.3144 0.1667 Cl
0.9714 0.6570 0.8333 Cl

---

No. 11
PBE LiHgOsCl6, relaxed; symmetry = No. 163; uncorrected formation energy = -0.693 eV per atom; VASP energy = -3.42 eV per atom
1.0
6.3972 0.0000 0.0000
-3.1986 5.5402 0.0000
0.0000 0.0000 11.8644
Li Hg Os Cl
2 2 2 12
Direct
0.3333 0.6667 0.2500 Li
0.6667 0.3333 0.7500 Li
0.0000 0.0000 0.0000 Hg
0.0000 0.0000 0.5000 Hg
0.3333 0.6667 0.7500 Os
0.6667 0.3333 0.2500 Os
0.0219 0.3772 0.6353 Cl
0.0219 0.6447 0.8647 Cl
0.3553 0.3772 0.8647 Cl
0.3553 0.9781 0.6353 Cl
0.3772 0.0219 0.1353 Cl
0.3772 0.3553 0.3647 Cl
0.6228 0.6447 0.6353 Cl
0.6228 0.9781 0.8647 Cl
0.6447 0.0219 0.3647 Cl
0.6447 0.6228 0.1353 Cl
0.9781 0.3553 0.1353 Cl
0.9781 0.6228 0.3647 Cl

---

No. 12
PBE Li2PuHgCl8, relaxed; symmetry = No. 10; uncorrected formation energy = -1.409 eV per atom; VASP energy = -4.18 eV per atom
1.0
6.1102 0.0000 0.0000
0.0000 8.2486 0.0000
-0.5632 0.0000 6.1991
Li Pu Hg Cl
2 1 1 8
Direct
0.0000 0.2464 0.0000 Li
0.0000 0.7536 0.0000 Li
0.5000 0.5000 0.5000 Pu
0.5000 0.0000 0.5000 Hg
0.2079 0.5000 0.1744 Cl
0.2141 0.0000 0.1929 Cl
0.2809 0.2757 0.6871 Cl
0.2809 0.7243 0.6871 Cl
0.7191 0.2757 0.3129 Cl
0.7191 0.7243 0.3129 Cl
0.7859 0.0000 0.8071 Cl
0.7921 0.5000 0.8256 Cl

---

No. 13
PBE Rb2Li2HgCl6, relaxed; symmetry = No. 12; uncorrected formation energy = -1.487 eV per atom; VASP energy = -3.05 eV per atom
1.0
6.4405 -3.6737 0.0000
6.4405 3.6737 0.0000
-3.4281 0.0000 6.9145
Rb Li Hg Cl
2 2 1 6
Direct
0.2100 0.2100 0.1780 Rb
0.7900 0.7900 0.8220 Rb
0.4305 0.4305 0.7236 Li
0.5695 0.5695 0.2764 Li
0.0000 0.0000 0.5000 Hg
0.2027 0.7086 0.2185 Cl
0.2384 0.2384 0.6245 Cl
0.2914 0.7973 0.7815 Cl
0.7086 0.2027 0.2185 Cl
0.7616 0.7616 0.3755 Cl
0.7973 0.2914 0.7815 Cl

---

No. 14
PBE Rb3LiHg2Cl9, relaxed; symmetry = No. 164; uncorrected formation energy = -1.224 eV per atom; VASP energy = -2.69 eV per atom
1.0
7.3833 0.0000 0.0000
-3.6916 6.3941 0.0000
0.0000 0.0000 9.1003
Rb Li Hg Cl
3 1 2 9
Direct
0.0000 0.0000 0.0000 Rb
0.3333 0.6667 0.6559 Rb
0.6667 0.3333 0.3441 Rb
0.0000 0.0000 0.5000 Li
0.3333 0.6667 0.1790 Hg
0.6667 0.3333 0.8210 Hg
0.0000 0.5000 0.0000 Cl
0.1626 0.3252 0.3330 Cl
0.1626 0.8374 0.3330 Cl
0.3252 0.1626 0.6670 Cl
0.5000 0.0000 0.0000 Cl
0.5000 0.5000 0.0000 Cl
0.6748 0.8374 0.3330 Cl
0.8374 0.1626 0.6670 Cl
0.8374 0.6748 0.6670 Cl

---

No. 15
PBE Rb2LiHgCl6, relaxed; relative energy among the computed polymorphs = 0.59 eV/f.u.; symmetry = No. 139; uncorrected formation energy = -1.205 eV per atom; VASP energy = -2.73 eV per atom
1.0
-3.8398 3.8398 4.5469
3.8398 -3.8398 4.5469
3.8398 3.8398 -4.5469
Rb Li Hg Cl
2 1 1 6
Direct
0.2500 0.7500 0.5000 Rb
0.7500 0.2500 0.5000 Rb
0.0000 0.0000 0.0000 Li
0.5000 0.5000 0.0000 Hg
0.2409 0.2409 0.0000 Cl
0.2478 0.2478 0.4956 Cl
0.2478 0.7522 0.0000 Cl
0.7522 0.2478 0.0000 Cl
0.7522 0.7522 0.5044 Cl
0.7591 0.7591 0.0000 Cl

---

No. 16
PBE Rb3Li2HgCl6, relaxed; symmetry = No. 164; uncorrected formation energy = -1.487 eV per atom; VASP energy = -3.00 eV per atom
1.0
7.7853 0.0000 0.0000
-3.8926 6.7422 0.0000
0.0000 0.0000 8.4512
Rb Li Hg Cl
3 2 1 6
Direct
0.0000 0.0000 0.0000 Rb
0.3333 0.6667 0.6118 Rb
0.6667 0.3333 0.3882 Rb
0.3333 0.6667 0.2074 Li
0.6667 0.3333 0.7926 Li
0.0000 0.0000 0.5000 Hg
0.1726 0.3452 0.2764 Cl
0.1726 0.8274 0.2764 Cl
0.3452 0.1726 0.7236 Cl
0.6548 0.8274 0.2764 Cl
0.8274 0.1726 0.7236 Cl
0.8274 0.6548 0.7236 Cl

---

No. 17
PBE Rb2LiHgCl4, relaxed; symmetry = No. 70; uncorrected formation energy = -1.401 eV per atom; VASP energy = -2.84 eV per atom
1.0
0.0000 7.0961 11.4297
3.1830 0.0000 11.4297
3.1830 7.0961 0.0000
Rb Li Hg Cl
4 2 2 8
Direct
0.0558 0.0558 0.6942 Rb
0.3058 0.3058 0.9442 Rb
0.6942 0.6942 0.0558 Rb
0.9442 0.9442 0.3058 Rb
0.1250 0.1250 0.1250 Li
0.8750 0.8750 0.8750 Li
0.3750 0.3750 0.3750 Hg
0.6250 0.6250 0.6250 Hg
0.1068 0.2619 0.3630 Cl
0.2317 0.6370 0.7381 Cl
0.2619 0.1068 0.7683 Cl
0.3630 0.7683 0.1068 Cl
0.6370 0.2317 0.8932 Cl
0.7381 0.8932 0.2317 Cl
0.7683 0.3630 0.2619 Cl
0.8932 0.7381 0.6370 Cl

---

No. 18
PBE RbLi3Hg4Cl12, relaxed; symmetry = No. 155; uncorrected formation energy = -1.046 eV per atom; VASP energy = -2.55 eV per atom
1.0
7.2272 4.1726 3.2185
-7.2272 4.1726 3.2185
0.0000 -8.3453 3.2185
Rb Li Hg Cl
1 3 4 12
Direct
0.0000 0.0000 0.0000 Rb
0.0000 0.5618 0.4382 Li
0.4382 0.0000 0.5618 Li
0.5618 0.4382 0.0000 Li
0.0615 0.5000 0.9385 Hg
0.5000 0.5000 0.5000 Hg
0.5000 0.9385 0.0615 Hg
0.9385 0.0615 0.5000 Hg
0.0605 0.6652 0.7616 Cl
0.1074 0.8926 0.5000 Cl
0.2384 0.3348 0.9395 Cl
0.3303 0.6697 0.5000 Cl
0.3348 0.9395 0.2384 Cl
0.5000 0.1074 0.8926 Cl
0.5000 0.3303 0.6697 Cl
0.6652 0.7616 0.0605 Cl
0.6697 0.5000 0.3303 Cl
0.7616 0.0605 0.6652 Cl
0.8926 0.5000 0.1074 Cl
0.9395 0.2384 0.3348 Cl

---

No. 19
PBE Rb2LiHgCl6, relaxed; relative energy among the computed polymorphs = 0.00 eV/f.u.; symmetry = No. 1; uncorrected formation energy = -1.264 eV per atom; VASP energy = -2.79 eV per atom
1.0
7.0357 0.0000 0.0000
-3.3270 6.4981 0.0000
-3.3503 -2.3125 6.2940
Rb Li Hg Cl
2 1 1 6
Direct
0.0000 0.0000 0.0000 Rb
0.0204 0.5207 0.5003 Rb
0.5110 0.7609 0.2519 Li
0.5097 0.2603 0.7501 Hg
0.0638 0.5643 0.0768 Cl
0.3941 0.4490 0.9439 Cl
0.4782 0.0027 0.9575 Cl
0.5429 0.5188 0.5435 Cl
0.6262 0.0719 0.5566 Cl
0.9577 0.9563 0.4235 Cl

---

No. 20
PBE LiReHg2Cl, relaxed; symmetry = No. 123; uncorrected formation energy = 0.415 eV per atom; VASP energy = -2.95 eV per atom
1.0
5.4672 0.0000 0.0000
0.0000 5.4672 0.0000
0.0000 0.0000 4.4548
Li Re Hg Cl
1 1 2 1
Direct
0.0000 0.0000 0.0000 Li
0.5000 0.5000 0.5000 Re
0.0000 0.5000 0.5000 Hg
0.5000 0.0000 0.5000 Hg
0.5000 0.5000 0.0000 Cl